Entry from Alexandria: crystalline BaErW2O8 at its relaxed geometry (PBE+U).

V (Å³/cell): 234.6
Density (g/cm³): 5.66
VASP energy (eV per atom): -7.449

Cell lengths 6.013, 6.013, 7.493 Å; angles 90.00, 90.00, 120.00 degrees
Fractional coordinates of all 12 atoms:
Ba 0.000 0.000 0.000
Er 0.000 0.000 0.500
W 0.333 0.667 0.768
W 0.667 0.333 0.232
O 0.164 0.327 0.692
O 0.164 0.836 0.692
O 0.327 0.164 0.308
O 0.333 0.667 0.009
O 0.667 0.333 0.991
O 0.673 0.836 0.692
O 0.836 0.164 0.308
O 0.836 0.673 0.308

***

Entry from Alexandria: crystalline BaErWO6 at its relaxed geometry (PBE+U).

V (Å³/cell): 155.9
Density (g/cm³): 6.23
VASP energy (eV per atom): -7.355

Cell lengths 5.672, 5.672, 5.594 Å; angles 90.00, 90.00, 120.00 degrees
Fractional coordinates of all 9 atoms:
Ba 0.000 0.000 0.000
Er 0.333 0.667 0.500
W 0.667 0.333 0.500
O 0.400 0.036 0.699
O 0.400 0.364 0.301
O 0.636 0.036 0.301
O 0.636 0.600 0.699
O 0.964 0.364 0.699
O 0.964 0.600 0.301